1.
Below is a relaxed structure of CuNiP2, with properties calculated at the PBE level.

Cell lengths 5.8588, 5.8588, 3.7227 Å; angles 99.52, 99.52, 25.16 degrees
With the nearest neighbours (Å) after each atom.
Atoms (fractional coordinates):
P (0.7676, 0.7676, 0.8168)  3 P 2.30-2.55, 4 Ni 2.31-2.32
P (0.9718, 0.9718, 0.9273)  3 P 2.30-2.55, 4 Cu 2.37-2.38
Cu (0.5378, 0.5378, 0.4611)  4 P 2.37-2.38, 2 Cu 2.55, 2 Ni 2.63
Ni (0.2228, 0.2228, 0.2948)  4 P 2.31-2.32, 2 Ni 2.55

Properties
Total DFT energy (no corrections) (eV per atom): -5.250
ΔE_f (eV/atom): -0.076
Total magnetic moment (μB per formula unit): 0.0
Theoretical density (g/cm3): 5.7

2.
Below is a relaxed structure of CuNiP2, with properties calculated at the PBE level.

Cell lengths 3.1591, 3.1339, 5.2303 Å; angles 90.00, 90.00, 90.00 degrees
With the nearest neighbours (Å) after each atom.
Atoms (fractional coordinates):
P (0.0000, 0.0000, 0.9661)  1 P 2.26, 4 Ni 2.50
Cu (0.5000, 0.5000, 0.2500)  2 Ni 2.62, 8 P 2.67
Ni (0.5000, 0.5000, 0.7500)  8 P 2.50, 2 Cu 2.62
P (0.0000, 0.0000, 0.5339)  1 P 2.26, 4 Ni 2.50

Properties
Total DFT energy (no corrections) (eV per atom): -5.058
ΔE_f (eV/atom): 0.116
Total magnetic moment (μB per formula unit): 0.0
Theoretical density (g/cm3): 5.9